(1)
HoCoPd (GGA-PBE, relaxed); E_form = 288 meV per atom; magnetization = 0.35 μB per cell
1.0
0.0000 3.0988 3.0988
3.0988 0.0000 3.0988
3.0988 3.0988 0.0000
Ho Co Pd
1 1 1
Direct
0.0000 0.0000 0.0000 Ho
0.7500 0.7500 0.7500 Co
0.2500 0.2500 0.2500 Pd

(2)
Hf2GaHg (GGA-PBE, relaxed); magnetization = 2.19 μB per cell; E_tot = -0.201 hartree per atom
1.0
0.0000 3.4807 3.4807
3.4807 0.0000 3.4807
3.4807 3.4807 0.0000
Hf Ga Hg
2 1 1
Direct
0.0000 0.0000 0.0000 Hf
0.2500 0.2500 0.2500 Hf
0.5000 0.5000 0.5000 Ga
0.7500 0.7500 0.7500 Hg

(3)
HfInAg3Se4 (GGA-PBE, relaxed); magnetization = 0.00 μB per cell; E_tot = -0.163 hartree per atom
1.0
6.4390 0.0000 0.0000
0.0000 6.4390 0.0000
0.0000 0.0000 6.4390
Hf In Ag Se
1 1 3 4
Direct
0.0000 0.0000 0.0000 Hf
0.5000 0.5000 0.5000 In
0.0000 0.0000 0.5000 Ag
0.0000 0.5000 0.0000 Ag
0.5000 0.0000 0.0000 Ag
0.2276 0.2276 0.7724 Se
0.2276 0.7724 0.2276 Se
0.7724 0.2276 0.2276 Se
0.7724 0.7724 0.7724 Se